Crystalline NaCaMn2Al at its relaxed geometry, computed with PBE. Values from VASP.

* N(E_F): 7.53 states/eV per cell
* ΔE_f: 1.737 eV per atom

Structure (Quantum ESPRESSO input):
```
&SYSTEM
  ibrav = 0, nat = 5, ntyp = 4
/
ATOMIC_SPECIES
Na 22.99 Na.upf
Mn 54.94 Mn.upf
Al 26.98 Al.upf
Ca 40.08 Ca.upf
CELL_PARAMETERS angstrom
4.672 0.000 0.000
0.000 4.854 0.000
0.000 0.000 4.672
ATOMIC_POSITIONS crystal
Na 0.000 0.000 0.000
Mn 0.000 0.000 0.500
Mn 0.500 0.000 0.000
Al 0.000 0.500 0.000
Ca 0.500 0.500 0.500
```